A plane-wave DFT calculation with GGA-PBE was carried out for an optimized crystal structure of Nb2Al2Rh.

Cell and atoms, written as POSCAR:
```
Nb2Al2Rh
1.0
6.374 0.000 0.000
0.000 6.374 0.000
0.000 0.000 4.061
Nb Al Rh
4 4 2
Cartesian
1.013 2.174 0.000 Nb
2.174 5.361 0.000 Nb
4.200 1.013 0.000 Nb
5.361 4.200 0.000 Nb
0.916 4.103 2.030 Al
2.271 0.916 2.030 Al
4.103 5.458 2.030 Al
5.458 2.271 2.030 Al
0.000 0.000 2.030 Rh
3.187 3.187 2.030 Rh
```

Density of states at the Fermi level in states/eV per cell: 5.116
Crystal system: tetragonal
Total DFT energy (no corrections) in eV per formula unit: -36.9
Magnetic moment in μB/f.u.: 0.00